A geometry-optimized TaTeIr structure, computed with PBE-GGA.

Space-group type: F-43m
Raw total energy (hartree per atom): -0.2849

Lattice parameters (Å, degrees): 4.507 4.507 4.507 60.00 60.00 60.00
Fractional positions:
1 Ir 0.250 0.250 0.250
2 Ta 0.000 0.000 0.000
3 Te 0.750 0.750 0.750